Rb2AsP2, relaxed, DFT PBE; DFT formation energy = 0.1322 eV/atom; total moment = 0.00 μB/cell; calculated density = 3.42 g cm⁻³; energy above the most stable polymorph in this dataset = 252 meV/atom
1.0
-2.335 4.343 8.857
1.006 -8.949 4.654
2.814 0.559 0.468
P As Rb
4 2 4
Cartesian
1.812 -4.533 3.553
1.000 -5.522 9.624
-0.328 0.487 10.425
0.485 1.475 4.353
0.000 0.000 0.000
-0.665 -2.303 6.755
0.122 -5.794 6.198
-1.119 -2.969 10.286
-1.451 1.188 7.313
-0.210 -1.637 3.224

---

RbAsP2, relaxed, DFT PBE; DFT formation energy = -0.0067 eV/atom; total moment = 0.00 μB/cell; calculated density = 3.29 g cm⁻³
1.0
7.360 0.000 0.000
0.000 7.360 0.000
3.680 3.680 4.146
P As Rb
4 2 2
Cartesian
4.729 1.840 1.036
2.632 5.520 1.036
5.520 6.312 3.109
9.201 8.409 3.109
3.680 3.680 0.000
3.680 7.360 2.073
0.000 0.000 0.000
7.360 3.680 2.073

---

Rb2AsP2, relaxed, DFT PBE; DFT formation energy = -0.1200 eV/atom; total moment = 0.00 μB/cell; calculated density = 3.82 g cm⁻³; energy above the most stable polymorph in this dataset = 0 meV/atom
1.0
-6.217 -3.146 -0.383
2.714 -4.849 -4.221
1.289 -3.079 4.367
P As Rb
4 2 4
Cartesian
-0.008 -5.539 -3.904
-3.874 -5.759 -2.917
-3.495 -2.456 -0.700
0.371 -2.237 -1.686
0.000 0.000 0.000
-1.751 -3.998 -2.302
1.353 -5.445 -0.779
-1.404 -7.647 -1.518
-3.567 -5.630 0.542
-0.810 -3.428 1.281

---

RbAsPRh2, relaxed, DFT PBE; DFT formation energy = -0.6442 eV/atom; total moment = 0.00 μB/cell; calculated density = 5.56 g cm⁻³
1.0
-1.997 0.105 3.464
4.204 -5.870 2.601
4.053 6.558 2.139
Rb As P Rh
2 2 2 4
Cartesian
2.741 4.616 2.595
3.519 -3.824 5.608
6.156 2.022 4.643
0.104 -1.230 3.561
3.974 -1.158 3.481
2.286 1.951 4.723
2.136 -0.384 4.707
4.124 1.176 3.497
4.140 2.868 5.764
2.119 -2.076 2.439

---

RbAsP2S, relaxed, DFT PBE; energy relative to the elements, uncorrected = 0.41 eV per atom; total moment = 1.63 μB/cell; calculated density = 3.36 g cm⁻³; energy above the most stable polymorph in this dataset = 0 meV/atom
1.0
4.897 0.000 0.000
0.000 4.897 0.000
0.000 0.000 5.240
P As S Rb
2 1 1 1
Cartesian
0.000 2.448 0.000
2.448 0.000 0.000
0.000 0.000 0.000
0.000 0.000 2.620
2.448 2.448 2.620

---

RbAsP2S, relaxed, DFT PBE; energy relative to the elements, uncorrected = 2.01 eV per atom; total moment = 10.00 μB/cell; calculated density = 1.13 g cm⁻³; energy above the most stable polymorph in this dataset = 1600 meV/atom
1.0
7.629 0.000 0.000
0.000 7.629 0.000
0.000 0.000 6.429
P As S Rb
2 1 1 1
Cartesian
0.000 3.814 0.000
3.814 0.000 0.000
3.814 3.814 3.215
0.000 0.000 3.215
0.000 0.000 0.000